(1)
# PBE TaCuAu3, optimized geometry
data_TaCuAu3
_cell_length_a 4.667
_cell_length_b 4.667
_cell_length_c 4.667
_cell_angle_alpha 90.00
_cell_angle_beta 90.00
_cell_angle_gamma 90.00
_space_group_name_H-M_alt 'P m -3 m'
_space_group_IT_number 221
_space_group_name_Hall '-P 4 2 3'
loop_
_atom_site_label
_atom_site_type_symbol
_atom_site_fract_x
_atom_site_fract_y
_atom_site_fract_z
_atom_site_occupancy
Ta1 Ta 0.000 0.000 0.000 1
Cu1 Cu 0.500 0.500 0.500 1
Au1 Au 0.000 0.500 0.500 1
# - Distance to the lowest polymorph of the same formula: 0.00 kJ/mol of atoms
# - Raw total energy: -20.953 eV per cell

=====

(2)
# PBE ScGeMo2, optimized geometry
data_ScGeMo2
_cell_length_a 7.534
_cell_length_b 7.534
_cell_length_c 5.238
_cell_angle_alpha 90.00
_cell_angle_beta 90.00
_cell_angle_gamma 90.00
_space_group_name_H-M_alt 'I -4 2 d'
_space_group_IT_number 122
_space_group_name_Hall 'I -4 2bw'
loop_
_atom_site_label
_atom_site_type_symbol
_atom_site_fract_x
_atom_site_fract_y
_atom_site_fract_z
_atom_site_occupancy
Sc1 Sc 0.000 0.000 0.000 1
Ge1 Ge 0.000 0.000 0.500 1
Mo1 Mo 0.198 0.250 0.625 1
# - Raw total energy: -123.804 eV per cell

=====

(3)
# PBE Ho2Ni12P3Rh, optimized geometry
data_Ho2Ni12P3Rh
_cell_length_a 8.4953
_cell_length_b 8.4953
_cell_length_c 11.5934
_cell_angle_alpha 90.00
_cell_angle_beta 90.00
_cell_angle_gamma 120.00
_space_group_name_H-M_alt 'R -3 m'
_space_group_IT_number 166
_space_group_name_Hall '-R 3 2"'
loop_
_atom_site_label
_atom_site_type_symbol
_atom_site_fract_x
_atom_site_fract_y
_atom_site_fract_z
_atom_site_occupancy
Ho1 Ho 0.0000 0.0000 0.2056 1
Ni1 Ni 0.9997 0.4999 0.1877 1
Ni2 Ni 0.0154 0.5077 0.6110 1
P1 P 0.0000 0.5000 0.0000 1
Rh1 Rh 0.0000 0.0000 0.5000 1
# - Raw total energy: -310.508 eV per cell

=====

(4)
# PBE Ag2GeSb, optimized geometry
data_Ag2GeSb
_cell_length_a 6.948
_cell_length_b 6.948
_cell_length_c 6.948
_cell_angle_alpha 90.00
_cell_angle_beta 90.00
_cell_angle_gamma 90.00
_space_group_name_H-M_alt 'F m -3 m'
_space_group_IT_number 225
_space_group_name_Hall '-F 4 2 3'
loop_
_atom_site_label
_atom_site_type_symbol
_atom_site_fract_x
_atom_site_fract_y
_atom_site_fract_z
_atom_site_occupancy
Ag1 Ag 0.250 0.250 0.250 1
Ge1 Ge 0.000 0.000 0.000 1
Sb1 Sb 0.000 0.000 0.500 1
# - Distance to the lowest polymorph of the same formula: 4.39 kJ/mol of atoms
# - Raw total energy: -54.440 eV per cell
# - Raw formation energy: 208 meV per atom

=====

(5)
# PBE Ce2Mg16Al, optimized geometry
data_Ce2Mg16Al
_cell_length_a 10.2200
_cell_length_b 10.2200
_cell_length_c 15.1297
_cell_angle_alpha 90.00
_cell_angle_beta 90.00
_cell_angle_gamma 120.00
_space_group_name_H-M_alt 'R 3 m'
_space_group_IT_number 160
_space_group_name_Hall 'R 3 -2"'
loop_
_atom_site_label
_atom_site_type_symbol
_atom_site_fract_x
_atom_site_fract_y
_atom_site_fract_z
_atom_site_occupancy
Ce1 Ce 0.0000 0.0000 0.0000 1
Ce2 Ce 0.0000 0.0000 0.3484 1
Mg1 Mg 0.0000 0.0000 0.7625 1
Mg2 Mg 0.0000 0.3022 0.6721 1
Mg3 Mg 0.0030 0.5015 0.1724 1
Mg4 Mg 0.0065 0.5032 0.8254 1
Mg5 Mg 0.1700 0.3401 0.8526 1
Al1 Al 0.0000 0.0000 0.5681 1
# - Raw total energy: -124.152 eV per cell

=====

(6)
# PBE LaHf2MnRh, optimized geometry
data_LaHf2MnRh
_cell_length_a 4.986
_cell_length_b 4.986
_cell_length_c 4.727
_cell_angle_alpha 90.00
_cell_angle_beta 90.00
_cell_angle_gamma 90.00
_space_group_name_H-M_alt 'P 4/m m m'
_space_group_IT_number 123
_space_group_name_Hall '-P 4 2'
loop_
_atom_site_label
_atom_site_type_symbol
_atom_site_fract_x
_atom_site_fract_y
_atom_site_fract_z
_atom_site_occupancy
La1 La 0.000 0.000 0.000 1
Hf1 Hf 0.000 0.500 0.500 1
Mn1 Mn 0.500 0.500 0.000 1
Rh1 Rh 0.500 0.500 0.500 1
# - Raw total energy: -39.264 eV per cell

=====

(7)
# PBE Mn2AsIr, optimized geometry
data_Mn2AsIr
_cell_length_a 5.325
_cell_length_b 5.325
_cell_length_c 10.505
_cell_angle_alpha 90.00
_cell_angle_beta 90.00
_cell_angle_gamma 90.00
_space_group_name_H-M_alt 'I -4 2 d'
_space_group_IT_number 122
_space_group_name_Hall 'I -4 2bw'
loop_
_atom_site_label
_atom_site_type_symbol
_atom_site_fract_x
_atom_site_fract_y
_atom_site_fract_z
_atom_site_occupancy
Mn1 Mn 0.243 0.250 0.125 1
As1 As 0.000 0.000 0.500 1
Ir1 Ir 0.000 0.000 0.000 1
# - Raw total energy: -116.388 eV per cell

=====

(8)
# PBE LiEr2Zn3, optimized geometry
data_LiEr2Zn3
_cell_length_a 6.708
_cell_length_b 9.094
_cell_length_c 15.808
_cell_angle_alpha 90.00
_cell_angle_beta 90.00
_cell_angle_gamma 90.00
_space_group_name_H-M_alt 'F m m m'
_space_group_IT_number 69
_space_group_name_Hall '-F 2 2'
loop_
_atom_site_label
_atom_site_type_symbol
_atom_site_fract_x
_atom_site_fract_y
_atom_site_fract_z
_atom_site_occupancy
Li1 Li 0.000 0.000 0.167 1
Er1 Er 0.248 0.000 0.500 1
Er2 Er 0.250 0.250 0.250 1
Zn1 Zn 0.000 0.000 0.333 1
Zn2 Zn 0.000 0.250 0.084 1
# - Distance to the lowest polymorph of the same formula: 3.35 kJ/mol of atoms
# - Raw total energy: -130.319 eV per cell

=====

(9)
# PBE Pr5Tm3, optimized geometry
data_Pr5Tm3
_cell_length_a 3.652
_cell_length_b 3.652
_cell_length_c 20.351
_cell_angle_alpha 90.00
_cell_angle_beta 90.00
_cell_angle_gamma 90.00
_space_group_name_H-M_alt 'P 4/m m m'
_space_group_IT_number 123
_space_group_name_Hall '-P 4 2'
loop_
_atom_site_label
_atom_site_type_symbol
_atom_site_fract_x
_atom_site_fract_y
_atom_site_fract_z
_atom_site_occupancy
Pr1 Pr 0.000 0.000 0.000 1
Pr2 Pr 0.000 0.000 0.246 1
Pr3 Pr 0.500 0.500 0.376 1
Tm1 Tm 0.000 0.000 0.500 1
Tm2 Tm 0.500 0.500 0.122 1
# - Raw total energy: -37.080 eV per cell

=====

(10)
# PBE Pr2ThMg, optimized geometry
data_Pr2ThMg
_cell_length_a 3.5613
_cell_length_b 3.5613
_cell_length_c 37.5673
_cell_angle_alpha 90.00
_cell_angle_beta 90.00
_cell_angle_gamma 120.00
_space_group_name_H-M_alt 'R -3 m'
_space_group_IT_number 166
_space_group_name_Hall '-R 3 2"'
loop_
_atom_site_label
_atom_site_type_symbol
_atom_site_fract_x
_atom_site_fract_y
_atom_site_fract_z
_atom_site_occupancy
Pr1 Pr 0.0000 0.0000 0.0899 1
Th1 Th 0.0000 0.0000 0.5000 1
Mg1 Mg 0.0000 0.0000 0.0000 1
# - Distance to the lowest polymorph of the same formula: 22.64 kJ/mol of atoms
# - Raw total energy: -53.430 eV per cell

=====

(11)
# PBE KRb2BaTi, optimized geometry
data_KRb2BaTi
_cell_length_a 7.276
_cell_length_b 7.276
_cell_length_c 6.650
_cell_angle_alpha 90.00
_cell_angle_beta 90.00
_cell_angle_gamma 90.00
_space_group_name_H-M_alt 'P 4/m m m'
_space_group_IT_number 123
_space_group_name_Hall '-P 4 2'
loop_
_atom_site_label
_atom_site_type_symbol
_atom_site_fract_x
_atom_site_fract_y
_atom_site_fract_z
_atom_site_occupancy
K1 K 0.000 0.000 0.000 1
Rb1 Rb 0.000 0.500 0.500 1
Ba1 Ba 0.500 0.500 0.000 1
Ti1 Ti 0.500 0.500 0.500 1
# - Raw total energy: -9.290 eV per cell

=====

(12)
# PBE K2CaCdF6, optimized geometry
data_K2CaCdF6
_cell_length_a 6.189
_cell_length_b 6.300
_cell_length_c 10.754
_cell_angle_alpha 90.00
_cell_angle_beta 125.05
_cell_angle_gamma 90.00
_space_group_name_H-M_alt 'P 1 21/c 1'
_space_group_IT_number 14
_space_group_name_Hall '-P 2ybc'
loop_
_atom_site_label
_atom_site_type_symbol
_atom_site_fract_x
_atom_site_fract_y
_atom_site_fract_z
_atom_site_occupancy
K1 K 0.240 0.041 0.250 1
Ca1 Ca 0.500 0.000 0.000 1
Cd1 Cd 0.000 0.000 0.500 1
F1 F 0.166 0.210 0.957 1
F2 F 0.248 0.710 0.957 1
F3 F 0.331 0.027 0.750 1
# - Raw total energy: -92.072 eV per cell
# - Raw formation energy: -2970 meV per atom

=====

| no. | total moment (μB per atom) |
| --- | --- |
| 1 | 0.41 |
| 2 | 0.00 |
| 3 | 0.00 |
| 4 | 0.00 |
| 5 | 0.12 |
| 6 | 0.00 |
| 7 | 0.00 |
| 8 | 0.00 |
| 9 | 0.00 |
| 10 | 0.00 |
| 11 | 0.97 |
| 12 | 0.00 |